The following is a PBE-GGA calculation of a relaxed Li3Np3PaSe8 crystal, from Alexandria.

```
Li3Np3PaSe8
1.0
4.119 2.378 6.468
-4.119 2.378 6.468
0.000 -4.757 6.468
Li Np Pa Se
3 3 1 8
direct
0.000 0.500 0.500
0.500 0.000 0.500
0.500 0.500 0.000
0.000 0.000 0.500
0.000 0.500 0.000
0.500 0.000 0.000
0.500 0.500 0.500
0.251 0.251 0.251
0.253 0.253 0.742
0.253 0.742 0.253
0.258 0.747 0.747
0.742 0.253 0.253
0.747 0.258 0.747
0.747 0.747 0.258
0.749 0.749 0.749
```

Results
The calculation puts the uncorrected formation energy at -1230 meV/atom. The uncorrected energy comes out at -6.69 eV/atom. For the density of states at the Fermi level, the calculation gives 29.6 states/eV per cell.

The following is a PBE-GGA calculation of a relaxed KCa2P crystal, from Alexandria.

```
KCa2P
1.0
3.704 0.000 0.000
0.000 3.704 0.000
0.000 0.000 10.634
K Ca P
1 2 1
direct
0.000 0.000 0.000
0.500 0.500 0.360
0.500 0.500 0.640
0.000 0.000 0.500
```

Results
The uncorrected energy comes out at -3.08 eV/atom. For the density of states at the Fermi level, the calculation gives 2.6 states/eV per cell. The formation energy comes out at -450 meV/atom.

The following is a PBE-GGA calculation of a relaxed CeDy4Ho15 crystal, from Alexandria.

```
CeDy4Ho15
1.0
4.995 0.000 0.000
0.000 4.995 0.000
0.000 0.000 24.909
Ce Dy Ho
1 4 15
direct
0.000 0.000 0.000
0.000 0.000 0.199
0.000 0.000 0.400
0.000 0.000 0.600
0.000 0.000 0.801
0.000 0.500 0.099
0.000 0.500 0.300
0.000 0.500 0.500
0.000 0.500 0.700
0.000 0.500 0.901
0.500 0.000 0.099
0.500 0.000 0.300
0.500 0.000 0.500
0.500 0.000 0.700
0.500 0.000 0.901
0.500 0.500 0.000
0.500 0.500 0.201
0.500 0.500 0.400
0.500 0.500 0.600
0.500 0.500 0.799
```

Results
The uncorrected energy comes out at -4.62 eV/atom. For the density of states at the Fermi level, the calculation gives 27.7 states/eV per cell. The formation energy comes out at 29 meV/atom.